Density functional theory data (PBE+U) for a relaxed V2GaBiO8 crystal.

Unit cell a=5.633 b=5.633 c=6.305 alpha=90.00 beta=90.00 gamma=120.00
Atoms (fractional coordinates):
O (0.843, 0.686, 0.298)
O (0.333, 0.667, 0.038)
O (0.686, 0.842, 0.702)
O (0.158, 0.843, 0.702)
O (0.667, 0.333, 0.962)
O (0.157, 0.314, 0.702)
O (0.842, 0.157, 0.298)
O (0.314, 0.158, 0.298)
Bi (0.000, 0.000, 0.000)
V (0.667, 0.333, 0.224)
V (0.333, 0.667, 0.776)
Ga (0.000, 0.000, 0.500)

Output
crystal system = trigonal
uncorrected energy = -6.803 eV/atom